No. 1
Density functional theory data (GGA-PBE) for a geometry-optimized TcP2IrO structure.

space group: P4/mmm, No. 123
magnetization: 0.1 μB per formula unit
volume: 79.7 Å³/cell
DFT total energy: -33.186 eV per formula unit
energy above the most stable polymorph in this dataset: 0.0000 eV/atom

a b c (Å): 4.708 4.708 3.593
angles (deg): 90.00 90.00 90.00
Atoms (fractional coordinates):
Tc1 0.000 0.000 0.000
P1 0.000 0.500 0.000
P2 0.500 0.000 0.000
Ir1 0.500 0.500 0.500
O1 0.000 0.000 0.500

No. 2
Density functional theory data (GGA-PBE) for a geometry-optimized BeNbAg structure.

space group: P1, No. 1
magnetization: 0.0 μB per formula unit
volume: 89.6 Å³/cell
energy of formation: 0.76 eV/f.u.
DFT total energy: -15.889 eV per formula unit
energy above the most stable polymorph in this dataset: 0.2691 eV/atom

a b c (Å): 4.203 5.045 5.248
angles (deg): 67.48 66.48 65.43
Atoms (fractional coordinates):
Be1 0.000 0.000 0.000
Be2 0.287 0.815 0.617
Nb1 0.671 0.135 0.531
Nb2 0.947 0.500 0.605
Ag1 0.297 0.348 0.058
Ag2 0.567 0.731 0.135

No. 3
Density functional theory data (GGA-PBE) for a geometry-optimized RbHW structure.

space group: P1, No. 1
magnetization: 0.1 μB per formula unit
volume: 145.8 Å³/cell
DFT total energy: -15.480 eV per formula unit
energy above the most stable polymorph in this dataset: 0.2511 eV/atom

a b c (Å): 3.115 4.306 10.872
angles (deg): 89.87 88.64 90.00
Atoms (fractional coordinates):
Rb1 0.000 0.000 0.000
Rb2 0.451 0.497 0.589
H1 0.484 0.326 0.183
H2 0.966 0.824 0.406
W1 0.473 0.040 0.316
W2 0.977 0.541 0.273